Record 1
CrTeW2O12 | PBE+U | optimized geometry

abc: 5.1691 5.3482 7.4312
angles: 92.26 90.01 90.05
With the nearest neighbours (Å) after each atom.
Element x y z (fractional)
1 O 0.9041 0.0016 0.2392  1 W 1.78
2 W 0.5084 0.5544 0.0014  4 O 1.79-1.95
3 O 0.0930 0.0093 0.7579  1 Cr 1.66
4 O 0.5953 0.4921 0.2501  1 Te 1.94, 1 W 1.94
5 W 0.9897 0.9969 0.4707  5 O 1.78-1.95
6 O 0.2841 0.8044 0.0455  1 W 1.79
7 Cr 0.0029 0.0574 0.9701  3 O 1.66-1.67
8 O 0.7980 0.2922 0.5537  1 Te 1.93, 1 W 1.94
9 O 0.7016 0.7945 0.5513  1 Te 1.93, 1 W 1.95
10 Te 0.4999 0.4961 0.5023  6 O 1.93-1.94
11 O 0.2977 0.1989 0.4518  1 Te 1.93, 1 W 1.93
12 O 0.3988 0.4911 0.7526  1 Te 1.93, 1 W 1.95
13 O 0.2012 0.2868 0.0413  1 Cr 1.67
14 O 0.2020 0.7001 0.4538  1 Te 1.93, 1 W 1.93
15 O 0.7993 0.7238 0.9537  1 W 1.80
16 O 0.7239 0.2100 0.9499  1 Cr 1.67

Calculated values
SG ... P1, No. 1
Crystal system ... triclinic
Calculated volume ... 12.83 Å³ per atom
N(E_F) ... 0.000 states/eV/f.u.
Mass density ... 5.98 g cm⁻³
Electronic total energy ... -6.66 eV/atom

Record 2
NaCaTiFe3O8 | PBE+U | optimized geometry

abc: 2.9676 9.3187 10.7101
angles: 90.00 90.00 90.00
With the nearest neighbours (Å) after each atom.
Element x y z (fractional)
1 O 0.0000 0.2258 0.2116  2 Ti 2.00, 1 Fe 2.02
2 O 0.5000 0.8746 0.4882  2 Ti 1.95
3 O 0.5000 0.7742 0.7116  2 Ti 2.00, 1 Fe 2.02
4 Na 0.0000 0.9946 0.3457  7 O 2.40-2.59
5 O 0.0000 0.5577 0.8370  3 Fe 2.02-2.13
6 O 0.5000 0.9554 0.1569  1 Ti 1.93, 2 Fe 2.08
7 O 0.5000 0.3612 0.0206  2 Fe 2.01, 1 Ti 2.13
8 Fe 0.0000 0.3075 0.3867  6 O 1.97-2.02
9 O 0.5000 0.1765 0.4272  3 Fe 1.97-1.98
10 Fe 0.5000 0.1912 0.6113  6 O 1.98-2.08
11 Fe 0.0000 0.8088 0.1113  6 O 1.98-2.08
12 O 0.0000 0.1254 0.9882  2 Ti 1.95
13 Fe 0.5000 0.6607 0.3961  5 O 1.96-2.13
14 O 0.5000 0.2879 0.7855  3 Fe 1.96-2.07
15 Fe 0.0000 0.3393 0.8961  5 O 1.96-2.13
16 O 0.5000 0.4423 0.3370  3 Fe 2.02-2.13
17 Ti 0.5000 0.1531 0.1036  6 O 1.93-2.13
18 O 0.0000 0.8235 0.9272  3 Fe 1.97-1.98
19 O 0.5000 0.6627 0.0719  3 Fe 2.00-2.06
20 O 0.0000 0.6388 0.5206  2 Fe 2.01, 1 Ti 2.13
21 Ca 0.5000 0.5133 0.6577  8 O 2.39-2.51
22 Ca 0.0000 0.4867 0.1577  8 O 2.39-2.51
23 Fe 0.5000 0.6925 0.8867  6 O 1.97-2.02
24 O 0.0000 0.3373 0.5719  3 Fe 2.00-2.06
25 Na 0.5000 0.0054 0.8457  7 O 2.40-2.59
26 O 0.0000 0.7121 0.2855  3 Fe 1.96-2.07
27 O 0.0000 0.0446 0.6569  1 Ti 1.93, 2 Fe 2.08
28 Ti 0.0000 0.8469 0.6036  6 O 1.93-2.13

Calculated values
SG ... Pmn2_1, No. 31
Crystal system ... orthorhombic
Calculated volume ... 10.58 Å³ per atom
Mass density ... 4.56 g cm⁻³
Electronic total energy ... -6.75 eV/atom